DFT (SCAN) results for MnReN2 at its PBEsol-relaxed geometry.

Geometry as CIF:
```
data_MnReN2
_symmetry_space_group_name_H-M 'P n a 21'
_symmetry_Int_Tables_number 33
_symmetry_space_group_name_Hall 'P 2c -2n'
_cell_length_a 5.030
_cell_length_b 5.978
_cell_length_c 5.342
_cell_angle_alpha 90.00
_cell_angle_beta 90.00
_cell_angle_gamma 90.00
loop_
_atom_site_label
_atom_site_type_symbol
_atom_site_fract_x
_atom_site_fract_y
_atom_site_fract_z
_atom_site_occupancy
Mn1 Mn 0.071 0.114 0.000 1
Re1 Re 0.122 0.672 0.887 1
N1 N 0.061 0.587 0.533 1
N2 N 0.079 0.135 0.642 1
```

Values from the calculation:
total energy	-27.038	eV/atom
volume	10.0	A^3/atom
excess energy over the best structure of this formula in the dataset	0.000	eV per atom

---

DFT (SCAN) results for MnReN2 at its PBEsol-relaxed geometry.

Geometry as CIF:
```
data_MnReN2
_symmetry_space_group_name_H-M 'R -3 m'
_symmetry_Int_Tables_number 166
_symmetry_space_group_name_Hall '-R 3 2"'
_cell_length_a 2.6476
_cell_length_b 2.6476
_cell_length_c 19.1565
_cell_angle_alpha 90.00
_cell_angle_beta 90.00
_cell_angle_gamma 120.00
loop_
_atom_site_label
_atom_site_type_symbol
_atom_site_fract_x
_atom_site_fract_y
_atom_site_fract_z
_atom_site_occupancy
Mn1 Mn 0.0000 0.0000 0.0000 1
Re1 Re 0.0000 0.0000 0.5000 1
N1 N 0.0000 0.0000 0.3956 1
```

Values from the calculation:
total energy	-26.897	eV/atom
volume	9.7	A^3/atom
excess energy over the best structure of this formula in the dataset	0.141	eV per atom

---

DFT (SCAN) results for ScMn2ReN at its PBEsol-relaxed geometry.

Geometry as CIF:
```
data_ScMn2ReN
_symmetry_space_group_name_H-M 'P 4/m m m'
_symmetry_Int_Tables_number 123
_symmetry_space_group_name_Hall '-P 4 2'
_cell_length_a 4.389
_cell_length_b 4.389
_cell_length_c 5.170
_cell_angle_alpha 90.00
_cell_angle_beta 90.00
_cell_angle_gamma 90.00
loop_
_atom_site_label
_atom_site_type_symbol
_atom_site_fract_x
_atom_site_fract_y
_atom_site_fract_z
_atom_site_occupancy
Sc1 Sc 0.000 0.000 0.000 1
Mn1 Mn 0.000 0.500 0.500 1
Re1 Re 0.000 0.000 0.500 1
N1 N 0.500 0.500 0.000 1
```

Values from the calculation:
total energy	-24.632	eV/atom
volume	19.9	A^3/atom

---

DFT (SCAN) results for MnZn2ReN at its PBEsol-relaxed geometry.

Geometry as CIF:
```
data_MnZn2ReN
_symmetry_space_group_name_H-M 'P 4/m m m'
_symmetry_Int_Tables_number 123
_symmetry_space_group_name_Hall '-P 4 2'
_cell_length_a 4.872
_cell_length_b 4.872
_cell_length_c 4.430
_cell_angle_alpha 90.00
_cell_angle_beta 90.00
_cell_angle_gamma 90.00
loop_
_atom_site_label
_atom_site_type_symbol
_atom_site_fract_x
_atom_site_fract_y
_atom_site_fract_z
_atom_site_occupancy
Mn1 Mn 0.000 0.000 0.000 1
Zn1 Zn 0.000 0.500 0.500 1
Re1 Re 0.000 0.000 0.500 1
N1 N 0.500 0.500 0.000 1
```

Values from the calculation:
total energy	-23.244	eV/atom
volume	21.0	A^3/atom

---

DFT (SCAN) results for MnRh3N at its PBEsol-relaxed geometry.

Geometry as CIF:
```
data_MnRh3N
_symmetry_space_group_name_H-M 'P m -3 m'
_symmetry_Int_Tables_number 221
_symmetry_space_group_name_Hall '-P 4 2 3'
_cell_length_a 3.995
_cell_length_b 3.995
_cell_length_c 3.995
_cell_angle_alpha 90.00
_cell_angle_beta 90.00
_cell_angle_gamma 90.00
loop_
_atom_site_label
_atom_site_type_symbol
_atom_site_fract_x
_atom_site_fract_y
_atom_site_fract_z
_atom_site_occupancy
Mn1 Mn 0.000 0.000 0.000 1
Rh1 Rh 0.000 0.500 0.500 1
N1 N 0.500 0.500 0.500 1
```

Values from the calculation:
total energy	-25.881	eV/atom
volume	12.8	A^3/atom

---

DFT (SCAN) results for MnTeRhN2 at its PBEsol-relaxed geometry.

Geometry as CIF:
```
data_MnTeRhN2
_symmetry_space_group_name_H-M 'P 4/m m m'
_symmetry_Int_Tables_number 123
_symmetry_space_group_name_Hall '-P 4 2'
_cell_length_a 3.603
_cell_length_b 3.603
_cell_length_c 5.451
_cell_angle_alpha 90.00
_cell_angle_beta 90.00
_cell_angle_gamma 90.00
loop_
_atom_site_label
_atom_site_type_symbol
_atom_site_fract_x
_atom_site_fract_y
_atom_site_fract_z
_atom_site_occupancy
Mn1 Mn 0.000 0.000 0.000 1
Te1 Te 0.000 0.000 0.500 1
Rh1 Rh 0.500 0.500 0.500 1
N1 N 0.000 0.500 0.000 1
```

Values from the calculation:
total energy	-20.907	eV/atom
volume	14.2	A^3/atom

---

DFT (SCAN) results for MnSN2 at its PBEsol-relaxed geometry.

Geometry as CIF:
```
data_MnSN2
_symmetry_space_group_name_H-M 'R -3 m'
_symmetry_Int_Tables_number 166
_symmetry_space_group_name_Hall '-R 3 2"'
_cell_length_a 2.7860
_cell_length_b 2.7860
_cell_length_c 17.4127
_cell_angle_alpha 90.00
_cell_angle_beta 90.00
_cell_angle_gamma 120.00
loop_
_atom_site_label
_atom_site_type_symbol
_atom_site_fract_x
_atom_site_fract_y
_atom_site_fract_z
_atom_site_occupancy
Mn1 Mn 0.0000 0.0000 0.0000 1
S1 S 0.0000 0.0000 0.5000 1
N1 N 0.0000 0.0000 0.1077 1
```

Values from the calculation:
total energy	-10.732	eV/atom
volume	9.8	A^3/atom

---

DFT (SCAN) results for MnSbSN2 at its PBEsol-relaxed geometry.

Geometry as CIF:
```
data_MnSbSN2
_symmetry_space_group_name_H-M 'P 4/m m m'
_symmetry_Int_Tables_number 123
_symmetry_space_group_name_Hall '-P 4 2'
_cell_length_a 3.711
_cell_length_b 3.711
_cell_length_c 4.692
_cell_angle_alpha 90.00
_cell_angle_beta 90.00
_cell_angle_gamma 90.00
loop_
_atom_site_label
_atom_site_type_symbol
_atom_site_fract_x
_atom_site_fract_y
_atom_site_fract_z
_atom_site_occupancy
Mn1 Mn 0.000 0.000 0.000 1
Sb1 Sb 0.500 0.500 0.500 1
S1 S 0.000 0.000 0.500 1
N1 N 0.000 0.500 0.000 1
```

Values from the calculation:
total energy	-16.158	eV/atom
volume	12.9	A^3/atom

---

DFT (SCAN) results for ScMnS2N at its PBEsol-relaxed geometry.

Geometry as CIF:
```
data_ScMnS2N
_symmetry_space_group_name_H-M 'P 4/m m m'
_symmetry_Int_Tables_number 123
_symmetry_space_group_name_Hall '-P 4 2'
_cell_length_a 4.584
_cell_length_b 4.584
_cell_length_c 3.458
_cell_angle_alpha 90.00
_cell_angle_beta 90.00
_cell_angle_gamma 90.00
loop_
_atom_site_label
_atom_site_type_symbol
_atom_site_fract_x
_atom_site_fract_y
_atom_site_fract_z
_atom_site_occupancy
Sc1 Sc 0.000 0.000 0.000 1
Mn1 Mn 0.500 0.500 0.500 1
S1 S 0.000 0.500 0.500 1
N1 N 0.500 0.500 0.000 1
```

Values from the calculation:
total energy	-12.916	eV/atom
volume	14.5	A^3/atom

---

DFT (SCAN) results for MnSiS2N at its PBEsol-relaxed geometry.

Geometry as CIF:
```
data_MnSiS2N
_symmetry_space_group_name_H-M 'P 4/m m m'
_symmetry_Int_Tables_number 123
_symmetry_space_group_name_Hall '-P 4 2'
_cell_length_a 4.597
_cell_length_b 4.597
_cell_length_c 3.419
_cell_angle_alpha 90.00
_cell_angle_beta 90.00
_cell_angle_gamma 90.00
loop_
_atom_site_label
_atom_site_type_symbol
_atom_site_fract_x
_atom_site_fract_y
_atom_site_fract_z
_atom_site_occupancy
Mn1 Mn 0.000 0.000 0.000 1
Si1 Si 0.500 0.500 0.500 1
S1 S 0.000 0.500 0.000 1
N1 N 0.000 0.000 0.500 1
```

Values from the calculation:
total energy	-11.055	eV/atom
volume	14.4	A^3/atom

---

DFT (SCAN) results for SrMnS2N at its PBEsol-relaxed geometry.

Geometry as CIF:
```
data_SrMnS2N
_symmetry_space_group_name_H-M 'P 4/m m m'
_symmetry_Int_Tables_number 123
_symmetry_space_group_name_Hall '-P 4 2'
_cell_length_a 4.824
_cell_length_b 4.824
_cell_length_c 3.573
_cell_angle_alpha 90.00
_cell_angle_beta 90.00
_cell_angle_gamma 90.00
loop_
_atom_site_label
_atom_site_type_symbol
_atom_site_fract_x
_atom_site_fract_y
_atom_site_fract_z
_atom_site_occupancy
Sr1 Sr 0.000 0.000 0.000 1
Mn1 Mn 0.500 0.500 0.500 1
S1 S 0.000 0.500 0.500 1
N1 N 0.500 0.500 0.000 1
```

Values from the calculation:
total energy	-14.783	eV/atom
volume	16.6	A^3/atom

---

DFT (SCAN) results for ZrMnS2N at its PBEsol-relaxed geometry.

Geometry as CIF:
```
data_ZrMnS2N
_symmetry_space_group_name_H-M 'P 4/m m m'
_symmetry_Int_Tables_number 123
_symmetry_space_group_name_Hall '-P 4 2'
_cell_length_a 4.987
_cell_length_b 4.987
_cell_length_c 3.984
_cell_angle_alpha 90.00
_cell_angle_beta 90.00
_cell_angle_gamma 90.00
loop_
_atom_site_label
_atom_site_type_symbol
_atom_site_fract_x
_atom_site_fract_y
_atom_site_fract_z
_atom_site_occupancy
Zr1 Zr 0.000 0.000 0.000 1
Mn1 Mn 0.500 0.500 0.500 1
S1 S 0.000 0.500 0.000 1
N1 N 0.000 0.000 0.500 1
```

Values from the calculation:
total energy	-15.909	eV/atom
volume	19.8	A^3/atom